# Ag2MoPt, relaxed, DFT PBE-GGA
data_Ag2MoPt
_chemical_formula_sum 'Ag2 Mo1 Pt1'
_space_group_name_H-M_alt 'P 4/m m m'
_space_group_IT_number 123
_space_group_name_Hall '-P 4 2'
_cell_length_a 3.8037
_cell_length_b 3.8037
_cell_length_c 4.6870
_cell_angle_alpha 90.00
_cell_angle_beta 90.00
_cell_angle_gamma 90.00
loop_
_atom_site_label
_atom_site_fract_x
_atom_site_fract_y
_atom_site_fract_z
Ag1 0.0000 0.5000 0.0000
Mo1 0.0000 0.0000 0.5000
Pt1 0.5000 0.5000 0.5000
# DOS at the Fermi energy (states/eV/cell): 5.41
# Energy above the most stable polymorph in this dataset (meV/atom): 403

---

# AgMo2Pt, relaxed, DFT PBE-GGA
data_AgMo2Pt
_chemical_formula_sum 'Ag1 Mo2 Pt1'
_space_group_name_H-M_alt 'P 4/m m m'
_space_group_IT_number 123
_space_group_name_Hall '-P 4 2'
_cell_length_a 3.4589
_cell_length_b 3.4589
_cell_length_c 5.6210
_cell_angle_alpha 90.00
_cell_angle_beta 90.00
_cell_angle_gamma 90.00
loop_
_atom_site_label
_atom_site_fract_x
_atom_site_fract_y
_atom_site_fract_z
Ag1 0.0000 0.0000 0.0000
Mo1 0.5000 0.5000 0.2860
Pt1 0.0000 0.0000 0.5000
# DOS at the Fermi energy (states/eV/cell): 2.34
# Energy above the most stable polymorph in this dataset (meV/atom): 252

---

# AgMo2Pt2, relaxed, DFT PBE-GGA
data_AgMo2Pt2
_chemical_formula_sum 'Ag2 Mo4 Pt4'
_space_group_name_H-M_alt 'P 4/m b m'
_space_group_IT_number 127
_space_group_name_Hall '-P 4 2ab'
_cell_length_a 7.8311
_cell_length_b 7.8311
_cell_length_c 2.7433
_cell_angle_alpha 90.00
_cell_angle_beta 90.00
_cell_angle_gamma 90.00
loop_
_atom_site_label
_atom_site_fract_x
_atom_site_fract_y
_atom_site_fract_z
Ag1 0.0000 0.0000 0.0000
Mo1 0.1723 0.3277 0.5000
Pt1 0.1238 0.6238 0.0000
# DOS at the Fermi energy (states/eV/cell): 10.31
# Total energy (eV per atom): -7.28

---

# AgMo4Pt, relaxed, DFT PBE-GGA
data_AgMo4Pt
_chemical_formula_sum 'Ag4 Mo16 Pt4'
_space_group_name_H-M_alt 'F -4 3 m'
_space_group_IT_number 216
_space_group_name_Hall 'F -4 2 3'
_cell_length_a 7.3672
_cell_length_b 7.3672
_cell_length_c 7.3672
_cell_angle_alpha 90.00
_cell_angle_beta 90.00
_cell_angle_gamma 90.00
loop_
_atom_site_label
_atom_site_fract_x
_atom_site_fract_y
_atom_site_fract_z
Ag1 0.0000 0.0000 0.0000
Mo1 0.1264 0.1264 0.3736
Pt1 0.2500 0.2500 0.7500
# DOS at the Fermi energy (states/eV/cell): 6.54
# Total energy (eV per atom): -8.36

---

# AgMoPt2, relaxed, DFT PBE-GGA
data_AgMoPt2
_chemical_formula_sum 'Ag2 Mo2 Pt4'
_space_group_name_H-M_alt 'C 1 m 1'
_space_group_IT_number 8
_cell_length_a 9.4384
_cell_length_b 2.7905
_cell_length_c 4.9158
_cell_angle_alpha 90.00
_cell_angle_beta 99.28
_cell_angle_gamma 90.00
loop_
_space_group_symop_operation_xyz
'x,y,z'
'x,-y,z'
'x+1/2,y+1/2,z'
'x+1/2,-y+1/2,z'
loop_
_atom_site_label
_atom_site_fract_x
_atom_site_fract_y
_atom_site_fract_z
Ag1 0.0000 0.0000 0.0000
Mo1 0.2428 0.0000 0.7132
Pt1 0.0010 0.5000 0.5110
Pt2 0.2541 0.5000 0.2267
# DOS at the Fermi energy (states/eV/cell): 6.92
# Energy above the most stable polymorph in this dataset (meV/atom): 194

---

# Ag2MoPt, relaxed, DFT PBE-GGA
data_Ag2MoPt
_chemical_formula_sum 'Ag2 Mo1 Pt1'
_space_group_name_H-M_alt 'P m m m'
_space_group_IT_number 47
_cell_length_a 2.7437
_cell_length_b 4.4367
_cell_length_c 5.4374
_cell_angle_alpha 90.00
_cell_angle_beta 90.00
_cell_angle_gamma 90.00
loop_
_space_group_symop_operation_xyz
'x,y,z'
'-x,-y,-z'
'-x,-y,z'
'x,y,-z'
'x,-y,-z'
'-x,y,z'
'-x,y,-z'
'x,-y,z'
loop_
_atom_site_label
_atom_site_fract_x
_atom_site_fract_y
_atom_site_fract_z
Ag1 0.0000 0.0000 0.2483
Mo1 0.5000 0.5000 0.0000
Pt1 0.5000 0.5000 0.5000
# DOS at the Fermi energy (states/eV/cell): 2.79
# Energy above the most stable polymorph in this dataset (meV/atom): 281

---

# AgMoPt6, relaxed, DFT PBE-GGA
data_AgMoPt6
_chemical_formula_sum 'Ag1 Mo1 Pt6'
_space_group_name_H-M_alt 'P 4/m m m'
_space_group_IT_number 123
_space_group_name_Hall '-P 4 2'
_cell_length_a 3.9940
_cell_length_b 3.9940
_cell_length_c 7.9105
_cell_angle_alpha 90.00
_cell_angle_beta 90.00
_cell_angle_gamma 90.00
loop_
_atom_site_label
_atom_site_fract_x
_atom_site_fract_y
_atom_site_fract_z
Ag1 0.0000 0.0000 0.0000
Mo1 0.0000 0.0000 0.5000
Pt1 0.0000 0.5000 0.2603
Pt2 0.5000 0.5000 0.0000
Pt3 0.5000 0.5000 0.5000
# DOS at the Fermi energy (states/eV/cell): 7.82
# Total energy (eV per atom): -6.42

---

# AgMoPt2, relaxed, DFT PBE-GGA
data_AgMoPt2
_chemical_formula_sum 'Ag3 Mo3 Pt6'
_space_group_name_H-M_alt 'R 3 m'
_space_group_IT_number 160
_space_group_name_Hall 'R 3 -2"'
_cell_length_a 2.8027
_cell_length_b 2.8027
_cell_length_c 28.3174
_cell_angle_alpha 90.00
_cell_angle_beta 90.00
_cell_angle_gamma 120.00
loop_
_atom_site_label
_atom_site_fract_x
_atom_site_fract_y
_atom_site_fract_z
Ag1 0.0000 0.0000 0.0000
Mo1 0.0000 0.0000 0.7540
Pt1 0.0000 0.0000 0.2484
Pt2 0.0000 0.0000 0.4970
# DOS at the Fermi energy (states/eV/cell): 2.89
# Energy above the most stable polymorph in this dataset (meV/atom): 198

---

# Ag2MoPt, relaxed, DFT PBE-GGA
data_Ag2MoPt
_chemical_formula_sum 'Ag8 Mo4 Pt4'
_space_group_name_H-M_alt 'F -4 3 m'
_space_group_IT_number 216
_space_group_name_Hall 'F -4 2 3'
_cell_length_a 6.4316
_cell_length_b 6.4316
_cell_length_c 6.4316
_cell_angle_alpha 90.00
_cell_angle_beta 90.00
_cell_angle_gamma 90.00
loop_
_atom_site_label
_atom_site_fract_x
_atom_site_fract_y
_atom_site_fract_z
Ag1 0.0000 0.0000 0.0000
Ag2 0.2500 0.2500 0.2500
Mo1 0.0000 0.0000 0.5000
Pt1 0.2500 0.2500 0.7500
# DOS at the Fermi energy (states/eV/cell): 2.65
# Energy above the most stable polymorph in this dataset (meV/atom): 282

---

# Ag2MoPt, relaxed, DFT PBE-GGA
data_Ag2MoPt
_chemical_formula_sum 'Ag2 Mo1 Pt1'
_space_group_name_H-M_alt 'P 4/m m m'
_space_group_IT_number 123
_space_group_name_Hall '-P 4 2'
_cell_length_a 2.7402
_cell_length_b 2.7402
_cell_length_c 8.7949
_cell_angle_alpha 90.00
_cell_angle_beta 90.00
_cell_angle_gamma 90.00
loop_
_atom_site_label
_atom_site_fract_x
_atom_site_fract_y
_atom_site_fract_z
Ag1 0.0000 0.0000 0.2465
Mo1 0.5000 0.5000 0.5000
Pt1 0.5000 0.5000 0.0000
# DOS at the Fermi energy (states/eV/cell): 2.56
# Energy above the most stable polymorph in this dataset (meV/atom): 235

---

# AgMoPt2, relaxed, DFT PBE-GGA
data_AgMoPt2
_chemical_formula_sum 'Ag1 Mo1 Pt2'
_space_group_name_H-M_alt 'P 4 m m'
_space_group_IT_number 99
_cell_length_a 2.7695
_cell_length_b 2.7695
_cell_length_c 8.3539
_cell_angle_alpha 90.00
_cell_angle_beta 90.00
_cell_angle_gamma 90.00
loop_
_space_group_symop_operation_xyz
'x,y,z'
'-y,x,z'
'-x,-y,z'
'y,-x,z'
'-x,y,z'
'y,x,z'
'x,-y,z'
'-y,-x,z'
loop_
_atom_site_label
_atom_site_fract_x
_atom_site_fract_y
_atom_site_fract_z
Ag1 0.0000 0.0000 0.0000
Mo1 0.5000 0.5000 0.2628
Pt1 0.0000 0.0000 0.4933
Pt2 0.5000 0.5000 0.7448
# DOS at the Fermi energy (states/eV/cell): 2.96
# Energy above the most stable polymorph in this dataset (meV/atom): 233

---

# Ag3MoPt, relaxed, DFT PBE-GGA
data_Ag3MoPt
_chemical_formula_sum 'Ag3 Mo1 Pt1'
_space_group_name_H-M_alt 'P m -3 m'
_space_group_IT_number 221
_space_group_name_Hall '-P 4 2 3'
_cell_length_a 5.0487
_cell_length_b 5.0487
_cell_length_c 5.0487
_cell_angle_alpha 90.00
_cell_angle_beta 90.00
_cell_angle_gamma 90.00
loop_
_atom_site_label
_atom_site_fract_x
_atom_site_fract_y
_atom_site_fract_z
Ag1 0.0000 0.0000 0.5000
Mo1 0.5000 0.5000 0.5000
Pt1 0.0000 0.0000 0.0000
# DOS at the Fermi energy (states/eV/cell): 1.66
# Energy above the most stable polymorph in this dataset (meV/atom): 0

---

# AgMoPt2, relaxed, DFT PBE-GGA
data_AgMoPt2
_chemical_formula_sum 'Ag2 Mo2 Pt4'
_space_group_name_H-M_alt 'I -4 m 2'
_space_group_IT_number 119
_space_group_name_Hall 'I -4 -2'
_cell_length_a 3.9288
_cell_length_b 3.9288
_cell_length_c 8.2421
_cell_angle_alpha 90.00
_cell_angle_beta 90.00
_cell_angle_gamma 90.00
loop_
_atom_site_label
_atom_site_fract_x
_atom_site_fract_y
_atom_site_fract_z
Ag1 0.0000 0.0000 0.0000
Mo1 0.0000 0.5000 0.7500
Pt1 0.0000 0.0000 0.5000
Pt2 0.0000 0.5000 0.2500
# DOS at the Fermi energy (states/eV/cell): 7.07
# Energy above the most stable polymorph in this dataset (meV/atom): 287

---

# AgMoPt2, relaxed, DFT PBE-GGA
data_AgMoPt2
_chemical_formula_sum 'Ag2 Mo2 Pt4'
_space_group_name_H-M_alt 'C m m m'
_space_group_IT_number 65
_space_group_name_Hall '-C 2 2'
_cell_length_a 5.7253
_cell_length_b 8.0340
_cell_length_c 2.7748
_cell_angle_alpha 90.00
_cell_angle_beta 90.00
_cell_angle_gamma 90.00
loop_
_atom_site_label
_atom_site_fract_x
_atom_site_fract_y
_atom_site_fract_z
Ag1 0.0000 0.0000 0.0000
Mo1 0.0000 0.5000 0.0000
Pt1 0.2500 0.2500 0.5000
# DOS at the Fermi energy (states/eV/cell): 7.17
# Energy above the most stable polymorph in this dataset (meV/atom): 241

---

# AgMoPt2, relaxed, DFT PBE-GGA
data_AgMoPt2
_chemical_formula_sum 'Ag4 Mo4 Pt8'
_space_group_name_H-M_alt 'I -4 2 d'
_space_group_IT_number 122
_space_group_name_Hall 'I -4 2bw'
_cell_length_a 7.2081
_cell_length_b 7.2081
_cell_length_c 5.5409
_cell_angle_alpha 90.00
_cell_angle_beta 90.00
_cell_angle_gamma 90.00
loop_
_atom_site_label
_atom_site_fract_x
_atom_site_fract_y
_atom_site_fract_z
Ag1 0.0000 0.0000 0.0000
Mo1 0.0000 0.0000 0.5000
Pt1 0.2240 0.7500 0.6250
# DOS at the Fermi energy (states/eV/cell): 24.47
# Energy above the most stable polymorph in this dataset (meV/atom): 676